Record 1
Below is a relaxed ZrRe2Pt crystal, with properties calculated at the PBE level.

Polymorph energy (0 for the lowest one), kJ/mol of formula units: 166
Mass density, kg/m³: 16496
Energy, eV/atom: -9.675
N(E_F), states/eV per atom: 1.12
ΔH_f (0 K), kcal/mol of atoms: 4.53

a b c (Å): 2.806 2.806 29.184
angles (deg): 90.00 90.00 120.00
Element x y z (fractional)
Zr1 0.000 0.000 0.000
Zr2 0.333 0.667 0.667
Zr3 0.667 0.333 0.333
Re1 0.000 0.000 0.244
Re2 0.000 0.000 0.756
Re3 0.333 0.667 0.422
Re4 0.333 0.667 0.911
Re5 0.667 0.333 0.089
Re6 0.667 0.333 0.578
Pt1 0.000 0.000 0.500
Pt2 0.333 0.667 0.167
Pt3 0.667 0.333 0.833



Record 2
Below is a relaxed ZrRePt crystal, with properties calculated at the PBE level.

Polymorph energy (0 for the lowest one), kJ/mol of formula units: 15
Mass density, kg/m³: 15127
Energy, eV/atom: -9.219
N(E_F), states/eV per atom: 1.33
ΔH_f (0 K), kcal/mol of atoms: -4.77

a b c (Å): 4.653 4.653 2.766
angles (deg): 90.00 90.00 120.00
Element x y z (fractional)
Zr1 0.000 0.000 0.000
Re1 0.333 0.667 0.500
Pt1 0.667 0.333 0.500



Record 3
Below is a relaxed Zr2RePt crystal, with properties calculated at the PBE level.

Mass density, kg/m³: 11430
Energy, eV/atom: -8.502
N(E_F), states/eV per atom: 1.28
ΔH_f (0 K), kcal/mol of atoms: 9.10

a b c (Å): 4.241 4.241 18.216
angles (deg): 90.00 90.00 90.00
Element x y z (fractional)
Zr1 0.246 0.250 0.125
Zr2 0.250 0.746 0.375
Zr3 0.250 0.754 0.875
Zr4 0.254 0.250 0.625
Zr5 0.746 0.750 0.625
Zr6 0.750 0.246 0.875
Zr7 0.750 0.254 0.375
Zr8 0.754 0.750 0.125
Re1 0.000 0.000 0.000
Re2 0.000 0.500 0.250
Re3 0.500 0.000 0.750
Re4 0.500 0.500 0.500
Pt1 0.000 0.000 0.500
Pt2 0.000 0.500 0.750
Pt3 0.500 0.000 0.250
Pt4 0.500 0.500 0.000